(1)
ReTeSe2 PBE relaxed; E_tot = -22.39 eV per cell
1.0
6.6385 0.0307 -0.1263
5.9258 2.9925 -0.1263
3.0337 0.7300 5.5598
Te Se Re
1 2 1
Direct
0.5824 0.5824 0.4590
0.7568 0.7568 0.8078
0.9044 0.9044 0.1210
0.2564 0.2564 0.1122

***

(2)
ReTeSe2 PBE relaxed; E_tot = -45.98 eV per cell
1.0
3.3103 0.0000 0.0000
0.0000 5.8749 0.0813
0.0000 2.2324 10.2564
Se Te Re
4 2 2
Direct
0.2500 0.4781 0.3651
0.7500 0.9966 0.3192
0.2500 0.0034 0.6808
0.7500 0.5219 0.6349
0.7500 0.6962 0.0166
0.2500 0.3038 0.9834
0.7500 0.1919 0.5052
0.2500 0.8081 0.4948

***

(3)
ReTeSe2 PBE relaxed; E_tot = -18.71 eV per cell
1.0
-2.5013 0.5886 -1.9660
-3.0999 -1.0818 3.6202
0.0013 4.6467 1.3896
Te Se Re
1 2 1
Direct
0.5000 0.0000 0.5000
0.5000 0.5000 0.0000
0.0000 0.0000 0.0000
0.0000 0.5000 0.5000

***

(4)
ReTeSe2 PBE relaxed; E_tot = -21.18 eV per cell
1.0
-1.1015 6.3449 -0.1101
-4.8918 3.0357 2.8875
5.2380 -3.7403 0.2391
Re Se Te
1 2 1
Direct
0.2500 0.7500 0.5000
0.4222 0.4222 0.0000
0.0778 0.0778 0.0000
0.7500 0.2500 0.5000

***

(5)
ReTeSe2 PBE relaxed; E_tot = -21.23 eV per cell
1.0
6.9867 0.0344 0.0035
4.7899 5.0865 -0.0035
-5.4900 -3.4764 2.5671
Se Te Re
2 1 1
Direct
0.0811 0.0811 0.0000
0.7687 0.2687 0.5000
0.4198 0.4198 0.0000
0.2304 0.7304 0.5000

***

(6)
ReTeSe2 PBE relaxed; E_tot = -20.46 eV per cell
1.0
-2.0310 -3.0133 2.5707
2.6015 -1.3459 0.4778
-0.3054 4.9363 5.5450
Re Se Te
1 2 1
Direct
0.5000 0.8643 0.8146
0.5000 0.0776 0.1631
0.0000 0.8462 0.9633
0.0000 0.7119 0.5590

***

(7)
ReTeSe2 PBE relaxed; E_tot = -20.67 eV per cell
1.0
-1.2130 2.0329 1.9780
1.5500 -2.4461 1.0634
9.5032 5.9134 -0.2495
Se Re Te
2 1 1
Direct
0.0000 0.0000 0.9294
0.0000 0.0000 0.5706
0.5000 0.5000 0.7500
0.5000 0.5000 0.2500

***

(8)
ReTeSe2 PBE relaxed; E_tot = -19.15 eV per cell
1.0
-3.5686 1.7873 -2.5933
-0.9080 -1.7569 -4.3293
-3.9275 -2.5837 -0.7441
Se Re Te
2 1 1
Direct
0.7500 0.7500 0.7500
0.0000 0.0000 0.0000
0.5000 0.5000 0.5000
0.2500 0.2500 0.2500

***

Copy entry 6 word for word.
ReTeSe2 PBE relaxed; E_tot = -20.46 eV per cell
1.0
-2.0310 -3.0133 2.5707
2.6015 -1.3459 0.4778
-0.3054 4.9363 5.5450
Re Se Te
1 2 1
Direct
0.5000 0.8643 0.8146
0.5000 0.0776 0.1631
0.0000 0.8462 0.9633
0.0000 0.7119 0.5590